1.
! NaZnSb2 PBEsol optimized geometry; values from VASP
&SYSTEM
  ibrav = 0, nat = 8, ntyp = 3
/
ATOMIC_SPECIES
Zn 65.41 Zn.upf
Sb 121.76 Sb.upf
Na 22.99 Na.upf
ATOMIC_POSITIONS angstrom
Zn -3.754 -1.399 3.117
Zn 0.000 0.000 0.000
Sb -2.185 -3.342 2.240
Sb -6.303 -0.841 2.676
Sb -4.048 -2.630 -1.924
Sb -5.110 3.613 2.903
Na -5.069 -0.201 -0.169
Na -1.215 -3.448 -0.771
CELL_PARAMETERS angstrom
-2.530 -2.250 -4.057
0.100 -4.646 2.514
-6.394 5.296 4.491
! **Symmetry**: I-42d (122)
! **Crystal system**: tetragonal
! **Spin magnetization**: 0.0 μB/f.u.

2.
! NaScSe2 PBEsol optimized geometry; values from VASP
&SYSTEM
  ibrav = 0, nat = 8, ntyp = 3
/
ATOMIC_SPECIES
Na 22.99 Na.upf
Se 78.96 Se.upf
Sc 44.96 Sc.upf
ATOMIC_POSITIONS angstrom
Na 3.460 1.760 2.979
Na 0.000 3.792 1.778
Se 2.004 5.688 2.667
Se 5.190 3.796 4.103
Se -2.004 7.448 5.646
Se 1.730 1.757 0.653
Sc 0.000 0.000 0.000
Sc 3.460 5.552 4.757
CELL_PARAMETERS angstrom
6.920 0.000 0.000
-3.460 5.824 0.577
0.000 3.521 5.957
! **Symmetry**: I-42d (122)
! **Crystal system**: tetragonal
! **Spin magnetization**: 0.0 μB/f.u.

Values of volume, in order: 30.250, 28.253, all in Å³ per atom.
Values of total energy, in order: -12.061, -21.068, all in eV per formula unit.
Values of energy relative to the elements, uncorrected, in order: 0.009, -1.341, all in eV per atom.